Entry 1:
Density functional theory data (GGA-PBE) for Fe4MoBr after structural relaxation.

Summary:
- E_form (uncorrected): 646 meV per atom

Cell and atoms, written as CIF:
```
data_Fe4MoBr
_chemical_formula_sum 'Fe16 Mo4 Br4'
_space_group_name_H-M_alt 'F -4 3 m'
_space_group_IT_number 216
_space_group_name_Hall 'F -4 2 3'
_cell_length_a 6.9155
_cell_length_b 6.9155
_cell_length_c 6.9155
_cell_angle_alpha 90.00
_cell_angle_beta 90.00
_cell_angle_gamma 90.00
loop_
_atom_site_label
_atom_site_type_symbol
_atom_site_fract_x
_atom_site_fract_y
_atom_site_fract_z
Fe1 Fe 0.1239 0.1239 0.1239
Mo1 Mo 0.2500 0.2500 0.7500
Br1 Br 0.0000 0.0000 0.5000
```


Entry 2:
Density functional theory data (GGA-PBE) for NaZrAsO5 after structural relaxation.

Summary:
- E_form (uncorrected): -2198 meV per atom

Cell and atoms, written as CIF:
```
data_NaZrAsO5
_chemical_formula_sum 'Na4 Zr4 As4 O20'
_space_group_name_H-M_alt 'C 1 2/c 1'
_space_group_IT_number 15
_cell_length_a 7.2074
_cell_length_b 9.1470
_cell_length_c 7.6582
_cell_angle_alpha 90.00
_cell_angle_beta 114.86
_cell_angle_gamma 90.00
loop_
_space_group_symop_operation_xyz
'x,y,z'
'-x,-y,-z'
'-x,y,-z+1/2'
'x,-y,z+1/2'
'x+1/2,y+1/2,z'
'-x+1/2,-y+1/2,-z'
'-x+1/2,y+1/2,-z+1/2'
'x+1/2,-y+1/2,z+1/2'
loop_
_atom_site_label
_atom_site_type_symbol
_atom_site_fract_x
_atom_site_fract_y
_atom_site_fract_z
Na1 Na 0.0000 0.1766 0.2500
Zr1 Zr 0.0000 0.5000 0.0000
As1 As 0.0000 0.1743 0.7500
O1 O 0.0000 0.4262 0.2500
O2 O 0.0920 0.2807 0.6180
O3 O 0.1826 0.0584 0.9049
```


Entry 3:
Density functional theory data (GGA-PBE) for Nd2Er6Tm3Zr after structural relaxation.

Summary:
- DFT total energy: -116.4 eV/cell

Cell and atoms, written as CIF:
```
data_Nd2Er6Tm3Zr
_chemical_formula_sum 'Nd4 Er12 Tm6 Zr2'
_space_group_name_H-M_alt 'C 1 2/m 1'
_space_group_IT_number 12
_cell_length_a 6.0677
_cell_length_b 10.4918
_cell_length_c 11.5908
_cell_angle_alpha 90.00
_cell_angle_beta 99.98
_cell_angle_gamma 90.00
loop_
_space_group_symop_operation_xyz
'x,y,z'
'-x,-y,-z'
'-x,y,-z'
'x,-y,z'
'x+1/2,y+1/2,z'
'-x+1/2,-y+1/2,-z'
'-x+1/2,y+1/2,-z'
'x+1/2,-y+1/2,z'
loop_
_atom_site_label
_atom_site_type_symbol
_atom_site_fract_x
_atom_site_fract_y
_atom_site_fract_z
Nd1 Nd 0.0000 0.1669 0.0000
Er1 Er 0.2433 0.5000 0.7515
Er2 Er 0.2466 0.3367 0.2490
Tm1 Tm 0.0000 0.0000 0.5000
Tm2 Tm 0.0000 0.3336 0.5000
Zr1 Zr 0.0000 0.5000 0.0000
```


| no. | size of the total moment (μB per cell) |
| --- | --- |
| 1 | 30.796 |
| 2 | 0.000 |
| 3 | 0.003 |